Entry from Alexandria: a relaxed structure of TcSn3Cl (GGA-PBEsol).

Geometry as POSCAR:
```
TcSn3Cl
1.0
-4.463 0.504 2.375
-2.156 -3.110 -3.391
1.118 -3.986 2.946
Cl Tc Sn
1 1 3
direct
0.500 0.500 0.500
0.000 0.000 0.000
0.500 0.000 0.000
0.000 0.000 0.500
0.000 0.500 0.000
```

Calculated values
The value obtained for the total energy is -27.2 eV/cell. The raw formation energy is -1.2 eV per formula unit.